The following is a DFT calculation (PBE-GGA) of a relaxed structure of Hf2AlCdNi4.

Lattice parameters (Å, degrees): 4.1658 4.1658 8.0009 90.00 90.00 120.00
Space group P-3m1 (No. 164)
Inequivalent atoms, fractional coordinates:
1 Hf 0.3333 0.6667 0.2452 [2 per cell]
2 Al 0.0000 0.0000 0.0000 [1 per cell]
3 Cd 0.0000 0.0000 0.5000 [1 per cell]
4 Ni 0.3333 0.6667 0.6003 [2 per cell]
5 Ni 0.3333 0.6667 0.9165 [2 per cell]

The total energy is -6.28 eV/atom. The calculation puts the total magnetic moment at 0.01 μB per cell.